# 1
# CuB2S4, optimized geometry, DFT PBE
data_CuB2S4
_chemical_formula_sum 'Cu6 B12 S24'
_cell_length_a 10.7699
_cell_length_b 10.7699
_cell_length_c 10.7699
_cell_angle_alpha 95.88
_cell_angle_beta 95.88
_cell_angle_gamma 142.65
_space_group_name_H-M_alt 'P 1'
_space_group_IT_number 1
_space_group_name_Hall 'P 1'
loop_
_atom_site_label
_atom_site_fract_x
_atom_site_fract_y
_atom_site_fract_z
_atom_site_occupancy
B1 0.5482 0.8775 0.0355 1
B2 0.9080 0.3725 0.1707 1
B3 0.3740 0.6250 0.2490 1
B4 0.8750 0.6260 0.2510 1
B5 0.4873 0.4518 0.3293 1
B6 0.2627 0.0920 0.4645 1
B7 0.6275 0.7982 0.5355 1
B8 0.1225 0.1580 0.6707 1
B9 0.3750 0.6240 0.7490 1
B10 0.3760 0.1250 0.7510 1
B11 0.2018 0.7373 0.8293 1
B12 0.8420 0.5127 0.9645 1
Cu1 0.5000 0.5000 0.0000 1
Cu2 0.3750 0.0382 0.1632 1
Cu3 0.9618 0.1250 0.3368 1
Cu4 0.2500 0.7500 0.5000 1
Cu5 0.7882 0.6250 0.6632 1
Cu6 0.8750 0.2118 0.8368 1
S1 0.3750 0.8816 0.0066 1
S2 0.3910 0.6149 0.0718 1
S3 0.9981 0.7476 0.1124 1
S4 0.8013 0.1250 0.1763 1
S5 0.6808 0.6090 0.2238 1
S6 0.7519 0.3643 0.2496 1
S7 0.2524 0.3647 0.2504 1
S8 0.2070 0.6351 0.2762 1
S9 0.3750 0.1987 0.3237 1
S10 0.6357 0.8853 0.3876 1
S11 0.0692 0.7930 0.4282 1
S12 0.1184 0.1250 0.4934 1
S13 0.6316 0.6250 0.5066 1
S14 0.3649 0.6410 0.5718 1
S15 0.4976 0.2481 0.6124 1
S16 0.8750 0.0513 0.6763 1
S17 0.3590 0.9308 0.7238 1
S18 0.1143 0.0019 0.7496 1
S19 0.1147 0.5024 0.7504 1
S20 0.3851 0.4570 0.7762 1
S21 0.9487 0.6250 0.8237 1
S22 0.6353 0.8857 0.8876 1
S23 0.5431 0.3192 0.9282 1
S24 0.8750 0.3684 0.9934 1
# space-group type: I-42d
# total DFT energy (no corrections): -0.37219 Ry/atom

---

# 2
# Nb, optimized geometry, DFT PBE
data_Nb
_chemical_formula_sum 'Nb1'
_cell_length_a 2.8160
_cell_length_b 2.8160
_cell_length_c 2.8160
_cell_angle_alpha 68.70
_cell_angle_beta 111.30
_cell_angle_gamma 111.30
_space_group_name_H-M_alt 'P 1'
_space_group_IT_number 1
_space_group_name_Hall 'P 1'
loop_
_atom_site_label
_atom_site_fract_x
_atom_site_fract_y
_atom_site_fract_z
_atom_site_occupancy
Nb1 0.0000 0.0000 0.0000 1
# space-group type: R-3m
# energy of formation from the pure elements: 0.268 eV/atom

---

# 3
# NdDy2NiSn3Pt2, optimized geometry, DFT PBE
data_NdDy2NiSn3Pt2
_chemical_formula_sum 'Nd1 Dy2 Ni1 Sn3 Pt2'
_cell_length_a 3.9706
_cell_length_b 7.5552
_cell_length_c 7.5552
_cell_angle_alpha 120.27
_cell_angle_beta 90.00
_cell_angle_gamma 90.00
_space_group_name_H-M_alt 'P 1'
_space_group_IT_number 1
_space_group_name_Hall 'P 1'
loop_
_atom_site_label
_atom_site_fract_x
_atom_site_fract_y
_atom_site_fract_z
_atom_site_occupancy
Dy1 0.0000 0.5943 0.0003 1
Dy2 0.0000 0.0003 0.5943 1
Nd1 0.0000 0.4082 0.4082 1
Ni1 0.0000 0.9956 0.9956 1
Pt1 0.5000 0.6726 0.3312 1
Pt2 0.5000 0.3312 0.6726 1
Sn1 0.5000 0.9978 0.2459 1
Sn2 0.5000 0.7540 0.7540 1
Sn3 0.5000 0.2459 0.9978 1
# space-group type: Amm2
# total DFT energy (no corrections): -0.42751 Ry/atom

---

# 4
# BaCu2Sb2, optimized geometry, DFT PBE
data_BaCu2Sb2
_chemical_formula_sum 'Ba2 Cu4 Sb4'
_cell_length_a 4.6916
_cell_length_b 4.6916
_cell_length_c 10.7882
_cell_angle_alpha 90.00
_cell_angle_beta 90.00
_cell_angle_gamma 90.00
_space_group_name_H-M_alt 'P 1'
_space_group_IT_number 1
_space_group_name_Hall 'P 1'
loop_
_atom_site_label
_atom_site_fract_x
_atom_site_fract_y
_atom_site_fract_z
_atom_site_occupancy
Ba1 0.0000 0.5000 0.2394 1
Ba2 0.5000 0.0000 0.7606 1
Cu1 0.0000 0.0000 0.0000 1
Cu2 0.5000 0.5000 0.0000 1
Cu3 0.5000 0.0000 0.3705 1
Cu4 0.0000 0.5000 0.6295 1
Sb1 0.5000 0.0000 0.1251 1
Sb2 0.0000 0.0000 0.5000 1
Sb3 0.5000 0.5000 0.5000 1
Sb4 0.0000 0.5000 0.8749 1
# space-group type: P4/nmm
# total DFT energy (no corrections): -0.29337 Ry/atom

---

# 5
# SbIr, optimized geometry, DFT PBE
data_SbIr
_chemical_formula_sum 'Sb1 Ir1'
_cell_length_a 3.8424
_cell_length_b 3.8424
_cell_length_c 3.8424
_cell_angle_alpha 60.00
_cell_angle_beta 60.00
_cell_angle_gamma 60.00
_space_group_name_H-M_alt 'P 1'
_space_group_IT_number 1
_space_group_name_Hall 'P 1'
loop_
_atom_site_label
_atom_site_fract_x
_atom_site_fract_y
_atom_site_fract_z
_atom_site_occupancy
Ir1 0.0000 0.0000 0.0000 1
Sb1 0.5000 0.5000 0.5000 1
# space-group type: Fm-3m
# total DFT energy (no corrections): -0.46407 Ry/atom

---

# 6
# LiUPt, optimized geometry, DFT PBE
data_LiUPt
_chemical_formula_sum 'Li1 U1 Pt1'
_cell_length_a 4.5861
_cell_length_b 4.5861
_cell_length_c 4.5861
_cell_angle_alpha 60.00
_cell_angle_beta 60.00
_cell_angle_gamma 60.00
_space_group_name_H-M_alt 'P 1'
_space_group_IT_number 1
_space_group_name_Hall 'P 1'
loop_
_atom_site_label
_atom_site_fract_x
_atom_site_fract_y
_atom_site_fract_z
_atom_site_occupancy
Li1 0.2500 0.2500 0.2500 1
Pt1 0.0000 0.0000 0.0000 1
U1 0.7500 0.7500 0.7500 1
# space-group type: F-43m
# total DFT energy (no corrections): -0.47827 Ry/atom

---

# 7
# HfAgPO, optimized geometry, DFT PBE
data_HfAgPO
_chemical_formula_sum 'Hf2 Ag2 P2 O2'
_cell_length_a 3.8864
_cell_length_b 6.3617
_cell_length_c 6.4927
_cell_angle_alpha 90.00
_cell_angle_beta 90.00
_cell_angle_gamma 90.00
_space_group_name_H-M_alt 'P 1'
_space_group_IT_number 1
_space_group_name_Hall 'P 1'
loop_
_atom_site_label
_atom_site_fract_x
_atom_site_fract_y
_atom_site_fract_z
_atom_site_occupancy
Ag1 0.0000 0.8172 0.0143 1
Ag2 0.0000 0.1828 0.5143 1
Hf1 0.5000 0.3858 0.0238 1
Hf2 0.5000 0.6142 0.5238 1
O1 0.5000 0.3728 0.3312 1
O2 0.5000 0.6272 0.8312 1
P1 0.0000 0.8165 0.3847 1
P2 0.0000 0.1835 0.8847 1
# space-group type: Pmc2_1
# total DFT energy (no corrections): -0.51341 Ry/atom

---

# 8
# KBeNiTe3, optimized geometry, DFT PBE
data_KBeNiTe3
_chemical_formula_sum 'K2 Be2 Ni2 Te6'
_cell_length_a 7.8281
_cell_length_b 7.8281
_cell_length_c 10.8379
_cell_angle_alpha 90.00
_cell_angle_beta 90.00
_cell_angle_gamma 150.79
_space_group_name_H-M_alt 'P 1'
_space_group_IT_number 1
_space_group_name_Hall 'P 1'
loop_
_atom_site_label
_atom_site_fract_x
_atom_site_fract_y
_atom_site_fract_z
_atom_site_occupancy
Be1 0.0398 0.9602 0.2500 1
Be2 0.9602 0.0398 0.7500 1
K1 0.7496 0.2504 0.2500 1
K2 0.2504 0.7496 0.7500 1
Ni1 0.5000 0.5000 0.0000 1
Ni2 0.5000 0.5000 0.5000 1
Te1 0.1096 0.8904 0.0451 1
Te2 0.4463 0.5537 0.2500 1
Te3 0.1096 0.8904 0.4549 1
Te4 0.8904 0.1096 0.5451 1
Te5 0.5537 0.4463 0.7500 1
Te6 0.8904 0.1096 0.9549 1
# space-group type: Cmcm
# total DFT energy (no corrections): -0.26989 Ry/atom

---

# 9
# MgTcBiPb, optimized geometry, DFT PBE
data_MgTcBiPb
_chemical_formula_sum 'Mg1 Tc1 Bi1 Pb1'
_cell_length_a 4.9570
_cell_length_b 4.9570
_cell_length_c 4.9570
_cell_angle_alpha 60.00
_cell_angle_beta 60.00
_cell_angle_gamma 60.00
_space_group_name_H-M_alt 'P 1'
_space_group_IT_number 1
_space_group_name_Hall 'P 1'
loop_
_atom_site_label
_atom_site_fract_x
_atom_site_fract_y
_atom_site_fract_z
_atom_site_occupancy
Bi1 0.0000 0.0000 0.0000 1
Mg1 0.7500 0.7500 0.7500 1
Pb1 0.5000 0.5000 0.5000 1
Tc1 0.2500 0.2500 0.2500 1
# space-group type: F-43m
# total DFT energy (no corrections): -0.33046 Ry/atom

---

# 10
# Sn2Mo3Os2, optimized geometry, DFT PBE
data_Sn2Mo3Os2
_chemical_formula_sum 'Sn2 Mo3 Os2'
_cell_length_a 4.4947
_cell_length_b 4.4947
_cell_length_c 7.5236
_cell_angle_alpha 72.62
_cell_angle_beta 72.62
_cell_angle_gamma 60.00
_space_group_name_H-M_alt 'P 1'
_space_group_IT_number 1
_space_group_name_Hall 'P 1'
loop_
_atom_site_label
_atom_site_fract_x
_atom_site_fract_y
_atom_site_fract_z
_atom_site_occupancy
Mo1 0.6317 0.6317 0.1048 1
Mo2 0.0908 0.0908 0.7275 1
Mo3 0.3792 0.3792 0.8624 1
Os1 0.9767 0.9767 0.0698 1
Os2 0.5118 0.5118 0.4646 1
Sn1 0.2368 0.2368 0.2896 1
Sn2 0.7979 0.7979 0.6064 1
# space-group type: R3m
# total DFT energy (no corrections): -0.63299 Ry/atom